First-principles (GGA-PBE) data for crystalline As2OsRu at its relaxed geometry, as listed in the Alexandria database.

The structure belongs to space group Cmm2 (No. 35); the cell edges are 2.8245, 4.9265 and 10.1425 Å and the angles 90.00°, 90.00° and 90.00°. The asymmetric unit holds As at (0.0000, 0.0000, 0.0000), As at (0.0000, 0.5000, 0.3626), Os at (0.0000, 0.0000, 0.5717) and Ru at (0.0000, 0.5000, 0.7949).

The formation enthalpy at 0 K comes out at 0.40 eV per atom. The offset from the most stable computed form comes out at 348.2 meV per atom.